A geometry-optimized Li3ScAl structure. Source: the Alexandria database, functional PBE.

Geometry as POSCAR:
```
Li3ScAl
1.0
4.732 0.000 0.000
0.000 4.732 0.000
0.000 0.000 4.732
Li Sc Al
3 1 1
direct
0.000 0.000 0.500
0.000 0.500 0.000
0.500 0.000 0.000
0.500 0.500 0.500
0.000 0.000 0.000
```

Results
Relative energy among the computed polymorphs, meV/atom: 0
Formation enthalpy at 0 K, eV/atom: 0.37
VASP energy, eV per cell: -13.97